A relaxed Ba2CaSc crystal, computed with PBE.

As for the energy of formation from the pure elements: 0.254 eV per atom. As for the mass density: 3.33 g/cm3. The energy relative to the lowest polymorph listed for this composition is 0.052 eV per atom. The density of states at the Fermi level comes out at 13.367 states/eV per cell.

It has space group Imm2 (No. 44), with a = 4.2647 Å, b = 6.4979 Å, c = 12.9558 Å, α = 90.00°, β = 90.00° and γ = 90.00°. The distinct sites, in fractional coordinates, are Ba at (0.0000, 0.0000, 0.0000), Ba at (0.0000, 0.5000, 0.2165), Ca at (0.0000, 0.5000, 0.7696) and Sc at (0.0000, 0.0000, 0.4807).